(1)
Sr2TlCo | meta-GGA SCAN | PBEsol geometry

Cell: 5.1859 5.1859 5.1959 Å, 119.94 119.94 90.00°
Closest atoms and distances in Å follow each position.
Atoms (fractional coordinates):
Sr1 0.0000 0.0000 0.0000  4 Sr 3.18, 4 Co 3.18
Sr2 0.7500 0.2500 0.5000  4 Tl 3.18, 4 Sr 3.18
Co1 0.2500 0.7500 0.5000  4 Tl 3.18, 4 Sr 3.18
Tl1 0.5000 0.5000 0.0000  4 Co 3.18, 4 Sr 3.18

energy of formation = 0.2152 eV per atom
magnetization = 1.99 μB per formula unit



(2)
SrTl2Co | meta-GGA SCAN | PBEsol geometry

Cell: 4.4894 4.4939 6.2990 Å, 69.13 69.12 60.03°
Closest atoms and distances in Å follow each position.
Atoms (fractional coordinates):
Sr1 0.2448 0.2458 0.2647  1 Co 3.12, 6 Tl 3.29-3.34
Co1 0.4267 0.4261 0.7206  6 Tl 2.66-2.79
Tl1 0.0341 0.0340 0.8978  3 Co 2.78-2.79, 3 Tl 3.05-3.06
Tl2 0.7945 0.7941 0.6169  3 Co 2.66

energy of formation = 0.1083 eV per atom
magnetization = 0.00 μB per formula unit